# 1
{
  "formula": "TaCuPb2",
  "functional": "PBE-GGA",
  "state": "optimized geometry",
  "spacegroup": "Fm-3m",
  "e_tot_ev_per_atom": -5.0327,
  "magnetic_moment_mub_per_cell": 0.000,
  "volume_a3_per_atom": 21.8,
  "lattice_angstrom": [[3.264, -1.789, 3.308], [-1.562, -1.473, 4.492], [-0.032, -4.842, 1.161]],
  "species": ["Pb", "Pb", "Cu", "Ta"],
  "fractional_positions": [[0.250, 0.250, 0.250], [0.750, 0.750, 0.750], [0.000, 0.000, 0.000], [0.500, 0.500, 0.500]]
}

***

# 2
{
  "formula": "TaCuPb2",
  "functional": "PBE-GGA",
  "state": "optimized geometry",
  "spacegroup": "P4/mmm",
  "e_tot_ev_per_atom": -5.2219,
  "magnetic_moment_mub_per_cell": 0.000,
  "volume_a3_per_atom": 21.9,
  "lattice_angstrom": [[3.142, 0.000, 0.000], [0.000, 3.142, 0.000], [0.000, 0.000, 8.855]],
  "species": ["Cu", "Pb", "Pb", "Ta"],
  "fractional_positions": [[0.500, 0.500, 0.750], [0.000, 0.000, 0.987], [0.000, 0.000, 0.513], [0.500, 0.500, 0.250]]
}

***

# 3
{
  "formula": "TaCuPb",
  "functional": "PBE-GGA",
  "state": "optimized geometry",
  "spacegroup": "Fmm2",
  "e_tot_ev_per_atom": -6.1072,
  "magnetic_moment_mub_per_cell": 0.000,
  "volume_a3_per_atom": 19.1,
  "lattice_angstrom": [[-6.046, -1.470, 0.518], [-4.372, -3.897, 1.715], [-1.069, 1.310, 2.696]],
  "species": ["Cu", "Pb", "Ta"],
  "fractional_positions": [[0.011, 0.011, 0.989], [0.342, 0.342, 0.658], [0.647, 0.647, 0.353]]
}

***

# 4
{
  "formula": "TaCuPb2",
  "functional": "PBE-GGA",
  "state": "optimized geometry",
  "spacegroup": "Cmmm",
  "e_tot_ev_per_atom": -5.2783,
  "magnetic_moment_mub_per_cell": 0.000,
  "volume_a3_per_atom": 21.7,
  "lattice_angstrom": [[3.178, -0.025, 0.000], [-0.968, 3.027, 0.000], [0.000, 0.000, 9.066]],
  "species": ["Cu", "Pb", "Pb", "Ta"],
  "fractional_positions": [[0.500, 0.500, 0.750], [0.000, 0.000, 0.988], [0.000, 0.000, 0.512], [0.500, 0.500, 0.250]]
}

***

# 5
{
  "formula": "TaCuPb2",
  "functional": "PBE-GGA",
  "state": "optimized geometry",
  "spacegroup": "I-42d",
  "e_tot_ev_per_atom": -4.9994,
  "magnetic_moment_mub_per_cell": 0.000,
  "volume_a3_per_atom": 22.3,
  "lattice_angstrom": [[-1.429, -7.365, 1.276], [7.261, -1.060, 2.016], [2.196, -3.565, 4.577]],
  "species": ["Pb", "Pb", "Pb", "Pb", "Cu", "Cu", "Ta", "Ta"],
  "fractional_positions": [[0.593, 0.125, 0.250], [0.157, 0.625, 0.250], [0.375, 0.407, 0.750], [0.875, 0.843, 0.750], [0.500, 0.500, 0.000], [0.250, 0.750, 0.500], [0.000, 0.000, 0.000], [0.750, 0.250, 0.500]]
}

***

# 6
{
  "formula": "Ta2CuPb",
  "functional": "PBE-GGA",
  "state": "optimized geometry",
  "spacegroup": "P4/mmm",
  "e_tot_ev_per_atom": -7.4105,
  "magnetic_moment_mub_per_cell": 0.000,
  "volume_a3_per_atom": 18.5,
  "lattice_angstrom": [[-0.194, -0.225, -3.017], [2.396, -1.858, -0.016], [-4.910, -6.339, 0.790]],
  "species": ["Cu", "Pb", "Ta", "Ta"],
  "fractional_positions": [[0.500, 0.500, 0.250], [0.500, 0.500, 0.750], [0.000, 0.000, 0.044], [0.000, 0.000, 0.456]]
}

***

# 7
{
  "formula": "TaCuPb",
  "functional": "PBE-GGA",
  "state": "optimized geometry",
  "spacegroup": "F-43m",
  "e_tot_ev_per_atom": -5.7866,
  "magnetic_moment_mub_per_cell": 0.000,
  "volume_a3_per_atom": 20.0,
  "lattice_angstrom": [[4.393, 0.000, 0.000], [2.197, 3.805, 0.000], [2.197, 1.268, 3.587]],
  "species": ["Cu", "Pb", "Ta"],
  "fractional_positions": [[0.750, 0.750, 0.750], [0.000, 0.000, 0.000], [0.500, 0.500, 0.500]]
}

***

# 8
{
  "formula": "Ta2CuPb",
  "functional": "PBE-GGA",
  "state": "optimized geometry",
  "spacegroup": "P4mm",
  "e_tot_ev_per_atom": -7.5565,
  "magnetic_moment_mub_per_cell": 0.000,
  "volume_a3_per_atom": 19.0,
  "lattice_angstrom": [[3.519, 0.000, 0.000], [0.000, 3.519, 0.000], [0.000, 0.000, 6.153]],
  "species": ["Cu", "Pb", "Ta", "Ta"],
  "fractional_positions": [[0.000, 0.000, 0.480], [0.500, 0.500, 0.734], [0.000, 0.000, 0.042], [0.500, 0.500, 0.244]]
}